Entry 1:
{
  "formula": "Ca3HfPb",
  "functional": "PBE",
  "state": "optimized geometry",
  "lattice_angstrom": [[5.9038, 0.0000, 0.0000], [0.0000, 5.9038, 0.0000], [0.0000, 0.0000, 5.9038]],
  "species": ["Ca", "Ca", "Ca", "Hf", "Pb"],
  "frac_coords": [[0.0000, 0.0000, 0.5000], [0.0000, 0.5000, 0.0000], [0.5000, 0.0000, 0.0000], [0.5000, 0.5000, 0.5000], [0.0000, 0.0000, 0.0000]],
  "energy_ev_per_atom": -3.27,
  "crystal_system": "cubic",
  "polymorph_energy_mev_per_atom": 0
}

***

Entry 2:
{
  "formula": "Ce2PmPt9",
  "functional": "PBE",
  "state": "optimized geometry",
  "lattice_angstrom": [[2.7186, 1.5696, 8.9624], [-2.7186, 1.5696, 8.9624], [0.0000, -3.1392, 8.9624]],
  "species": ["Ce", "Ce", "Pm", "Pt", "Pt", "Pt", "Pt", "Pt", "Pt", "Pt", "Pt", "Pt"],
  "frac_coords": [[0.1393, 0.1393, 0.1393], [0.8607, 0.8607, 0.8607], [0.0000, 0.0000, 0.0000], [0.0815, 0.5867, 0.5867], [0.3328, 0.3328, 0.3328], [0.4133, 0.4133, 0.9185], [0.4133, 0.9185, 0.4133], [0.5000, 0.5000, 0.5000], [0.5867, 0.0815, 0.5867], [0.5867, 0.5867, 0.0815], [0.6672, 0.6672, 0.6672], [0.9185, 0.4133, 0.4133]],
  "energy_ev_per_atom": -6.83,
  "crystal_system": "trigonal"
}

***

Entry 3:
{
  "formula": "NiAs4Rh",
  "functional": "PBE",
  "state": "optimized geometry",
  "lattice_angstrom": [[0.0000, 3.7750, 3.7750], [3.7750, 0.0000, 3.7750], [3.7750, 3.7750, 0.0000]],
  "species": ["Ni", "As", "As", "As", "As", "Rh"],
  "frac_coords": [[0.0000, 0.0000, 0.0000], [0.3744, 0.3744, 0.3744], [0.3744, 0.3744, 0.8768], [0.3744, 0.8768, 0.3744], [0.8768, 0.3744, 0.3744], [0.7500, 0.7500, 0.7500]],
  "energy_ev_per_atom": -4.57,
  "crystal_system": "cubic",
  "polymorph_energy_mev_per_atom": 1028
}